[1]
## K2ZrIr (PBE)

Data for a relaxed K2ZrIr crystal.

Computed properties:
DFT formation energy: 0.1203 eV/atom
Total energy: -0.3514 Ry per atom
ΔE to the lowest computed polymorph: 0.017 eV/atom

POSCAR file:
```
K2ZrIr
1.0
-3.760 -2.343 -9.823
-0.466 -3.206 -10.277
-0.959 -3.919 0.488
Ir K Zr
1 2 1
direct
0.250 0.250 0.250 Ir
0.900 0.900 0.106 K
0.600 0.600 0.394 K
0.750 0.750 0.750 Zr
```

=====

[2]
## PuAl4Ga2 (PBE)

Data for a relaxed PuAl4Ga2 crystal.

Computed properties:
DFT formation energy: -0.1599 eV/atom
Total energy: -0.3830 Ry per atom

POSCAR file:
```
PuAl4Ga2
1.0
-1.813 3.108 -2.025
-1.265 -2.647 -2.931
-5.788 0.102 5.339
Pu Al Ga
1 4 2
direct
0.000 0.000 0.000 Pu
0.500 0.816 0.632 Al
0.000 0.687 0.374 Al
0.500 0.184 0.368 Al
0.000 0.313 0.626 Al
0.500 0.580 0.160 Ga
0.500 0.420 0.840 Ga
```

=====

[3]
## CrPHCl2 (PBE)

Data for a relaxed CrPHCl2 crystal.

Computed properties:
Total energy: -0.3008 Ry per atom
ΔE to the lowest computed polymorph: 0.000 eV/atom

POSCAR file:
```
CrPHCl2
1.0
4.781 0.000 0.000
0.000 4.781 0.000
0.000 0.000 4.639
Cr H P Cl
1 1 1 2
direct
0.000 0.000 0.000 Cr
0.500 0.500 0.500 H
0.000 0.000 0.500 P
0.000 0.500 0.000 Cl
0.500 0.000 0.000 Cl
```

=====

[4]
## Na2Ti2As2N (PBE)

Data for a relaxed Na2Ti2As2N crystal.

Computed properties:
Formation energy (no corrections): -0.899 eV/atom
Total energy: -0.4446 Ry per atom

POSCAR file:
```
Na2Ti2As2N
1.0
4.092 0.000 0.000
0.000 4.092 0.000
-2.046 -2.046 7.624
Na Ti As N
2 2 2 1
direct
0.178 0.178 0.356 Na
0.822 0.822 0.644 Na
0.000 0.500 0.000 Ti
0.500 0.000 0.000 Ti
0.381 0.381 0.763 As
0.619 0.619 0.237 As
0.000 0.000 0.000 N
```

=====

[5]
## La2TbSm3Tm6 (PBE)

Data for a relaxed La2TbSm3Tm6 crystal.

Computed properties:
DFT formation energy: 0.0196 eV/atom
Total energy: -0.3383 Ry per atom

POSCAR file:
```
La2TbSm3Tm6
1.0
6.202 0.000 0.010
-3.100 5.372 0.010
-1.050 -1.818 11.538
La Tb Sm Tm
2 1 3 6
direct
0.334 0.666 0.000 La
0.666 0.334 0.000 La
0.000 0.000 0.000 Tb
0.167 0.833 0.500 Sm
0.833 0.167 0.500 Sm
0.500 0.500 0.500 Sm
0.916 0.583 0.748 Tm
0.752 0.752 0.252 Tm
0.084 0.417 0.252 Tm
0.583 0.916 0.748 Tm
0.248 0.248 0.748 Tm
0.417 0.084 0.252 Tm
```

=====

[6]
## KAgSnTe2 (PBE)

Data for a relaxed KAgSnTe2 crystal.

Computed properties:
Formation energy (no corrections): -0.439 eV/atom
Total energy: -0.2415 Ry per atom
ΔE to the lowest computed polymorph: 0.000 eV/atom

POSCAR file:
```
KAgSnTe2
1.0
-5.583 0.492 -0.192
-0.774 -8.226 1.414
0.141 4.406 7.198
K Ag Sn Te
2 2 2 4
direct
0.206 0.500 0.750 K
0.794 0.500 0.250 K
0.000 0.000 0.000 Ag
0.000 0.000 0.500 Ag
0.386 0.000 0.250 Sn
0.614 0.000 0.750 Sn
0.697 0.750 0.992 Te
0.697 0.250 0.508 Te
0.303 0.750 0.492 Te
0.303 0.250 0.008 Te
```

=====

[7]
## KTaCd2 (PBE)

Data for a relaxed KTaCd2 crystal.

Computed properties:
DFT formation energy: 1.1367 eV/atom
Total energy: -0.1880 Ry per atom
ΔE to the lowest computed polymorph: 0.742 eV/atom

POSCAR file:
```
KTaCd2
1.0
5.458 0.000 0.000
0.000 5.458 0.000
2.729 2.729 9.909
K Cd Ta
2 4 2
direct
0.500 0.500 0.000 K
0.250 0.750 0.500 K
0.788 0.125 0.250 Cd
0.962 0.625 0.250 Cd
0.375 0.212 0.750 Cd
0.875 0.038 0.750 Cd
0.000 0.000 0.000 Ta
0.750 0.250 0.500 Ta
```

=====

[8]
## Th2UB3Ir12 (PBE)

Data for a relaxed Th2UB3Ir12 crystal.

Computed properties:
DFT formation energy: -0.1055 eV/atom
Total energy: -0.6304 Ry per atom

POSCAR file:
```
Th2UB3Ir12
1.0
7.984 0.372 0.264
4.266 6.759 0.264
4.266 2.483 6.292
Th U B Ir
2 1 3 12
direct
0.591 0.591 0.591 Th
0.409 0.409 0.409 Th
0.000 0.000 0.000 U
0.500 0.000 0.000 B
0.000 0.500 0.000 B
0.000 0.000 0.500 B
0.331 0.331 0.925 Ir
0.839 0.839 0.427 Ir
0.427 0.839 0.839 Ir
0.925 0.331 0.331 Ir
0.839 0.427 0.839 Ir
0.331 0.925 0.331 Ir
0.669 0.669 0.075 Ir
0.161 0.161 0.573 Ir
0.573 0.161 0.161 Ir
0.075 0.669 0.669 Ir
0.161 0.573 0.161 Ir
0.669 0.075 0.669 Ir
```

=====

For reference, volume by record: 146.0 130.1 106.0 127.6 384.7 368.7 295.1 319.9 Å³ per cell.